Entry 1:
VASP calculation (PBE-GGA) on a geometry-optimized KNa2I3 structure.

formation energy (no corrections)	-750	kJ/mol of formula units
V	40.64	A^3/atom

```
data_KNa2I3
_cell_length_a 4.984
_cell_length_b 4.984
_cell_length_c 19.633
_cell_angle_alpha 90.00
_cell_angle_beta 90.00
_cell_angle_gamma 90.00
_space_group_name_H-M_alt 'I 4/m m m'
_space_group_IT_number 139
_space_group_name_Hall '-I 4 2'
loop_
_atom_site_label
_atom_site_type_symbol
_atom_site_fract_x
_atom_site_fract_y
_atom_site_fract_z
_atom_site_occupancy
K1 K 0.000 0.000 0.000 1
Na1 Na 0.000 0.000 0.332 1
I1 I 0.000 0.000 0.174 1
I2 I 0.000 0.000 0.500 1
```

=====

Entry 2:
VASP calculation (PBE-GGA) on a geometry-optimized CdFe2BAu structure.

V	23.81	A^3/atom
formation enthalpy at 0 K	2.21	eV/atom

```
data_CdFe2BAu
_cell_length_a 4.852
_cell_length_b 4.852
_cell_length_c 5.056
_cell_angle_alpha 90.00
_cell_angle_beta 90.00
_cell_angle_gamma 90.00
_space_group_name_H-M_alt 'P 4/m m m'
_space_group_IT_number 123
_space_group_name_Hall '-P 4 2'
loop_
_atom_site_label
_atom_site_type_symbol
_atom_site_fract_x
_atom_site_fract_y
_atom_site_fract_z
_atom_site_occupancy
Cd1 Cd 0.000 0.000 0.000 1
Fe1 Fe 0.000 0.500 0.000 1
B1 B 0.500 0.500 0.500 1
Au1 Au 0.000 0.000 0.500 1
```

=====

Entry 3:
VASP calculation (PBE-GGA) on a geometry-optimized ThPa2Ga6 structure.

V	20.90	A^3/atom
formation enthalpy at 0 K	-0.37	eV/atom

```
data_ThPa2Ga6
_cell_length_a 7.8240
_cell_length_b 7.8240
_cell_length_c 3.5473
_cell_angle_alpha 90.00
_cell_angle_beta 90.00
_cell_angle_gamma 120.00
_space_group_name_H-M_alt 'P 6/m m m'
_space_group_IT_number 191
_space_group_name_Hall '-P 6 2'
loop_
_atom_site_label
_atom_site_type_symbol
_atom_site_fract_x
_atom_site_fract_y
_atom_site_fract_z
_atom_site_occupancy
Th1 Th 0.0000 0.0000 0.0000 1
Pa1 Pa 0.3333 0.6667 0.0000 1
Ga1 Ga 0.0000 0.3369 0.5000 1
```

=====

Q: Which value of V does entry 1 give?
A: 40.64 A^3/atom